CrCoBi2O6: relaxed, PBE+U.

Space-group type: R3, No. 146
Uncorrected energy, eV per atom: -6.311
Total magnetization, μB per cell: 4.95

a = 5.6824 Å, b = 5.6824 Å, c = 5.6824 Å
α = 58.94°, β = 58.94°, γ = 58.94°
Element x y z (fractional)
Cr (0.0000, 0.0000, 0.0000)
Co (0.5066, 0.5066, 0.5066)
Bi (0.2858, 0.2858, 0.2858)
Bi (0.7814, 0.7814, 0.7814)
O (0.1567, 0.7293, 0.3281)
O (0.2141, 0.6621, 0.8473)
O (0.3281, 0.1567, 0.7293)
O (0.6621, 0.8473, 0.2141)
O (0.7293, 0.3281, 0.1567)
O (0.8473, 0.2141, 0.6621)